Crystalline Tb3TmTe6 at its relaxed geometry. Source: Alexandria, functional PBE.

**Spin magnetization**: 0.00 μB per formula unit
**Calculated total energy**: -101.2 eV/cell
**SG**: No. 148
**E above lowest polymorph**: 0.0086 eV per atom

a = 9.0104 Å, b = 9.0104 Å, c = 9.0104 Å
α = 90.50°, β = 90.50°, γ = 90.50°
Positions (direct):
Tb (0.4253, 0.9180, 0.7574)
Tb (0.9180, 0.7574, 0.4253)
Tb (0.2426, 0.5747, 0.0820)
Tb (0.7574, 0.4253, 0.9180)
Tb (0.0820, 0.2426, 0.5747)
Tb (0.5747, 0.0820, 0.2426)
Tm (0.0000, 0.0000, 0.0000)
Tm (0.5000, 0.5000, 0.5000)
Te (0.3131, 0.9143, 0.0904)
Te (0.0857, 0.9096, 0.6869)
Te (0.5881, 0.8186, 0.4604)
Te (0.9096, 0.6869, 0.0857)
Te (0.4604, 0.5881, 0.8186)
Te (0.1814, 0.5396, 0.4119)
Te (0.8186, 0.4604, 0.5881)
Te (0.5396, 0.4119, 0.1814)
Te (0.0904, 0.3131, 0.9143)
Te (0.4119, 0.1814, 0.5396)
Te (0.9143, 0.0904, 0.3131)
Te (0.6869, 0.0857, 0.9096)